[1]
Material: Rb3V2PbO8
Method: DFT, PBE+U
State: optimized geometry

The structure in POSCAR format:
```
Rb3V2PbO8
1.0
6.139 0.000 0.000
-3.069 5.317 0.000
0.000 0.000 8.038
Rb V Pb O
3 2 1 8
direct
0.000 0.000 0.000
0.333 0.667 0.700
0.667 0.333 0.300
0.333 0.667 0.251
0.667 0.333 0.749
0.000 0.000 0.500
0.175 0.351 0.322
0.175 0.825 0.322
0.333 0.667 0.042
0.351 0.175 0.678
0.649 0.825 0.322
0.667 0.333 0.958
0.825 0.175 0.678
0.825 0.649 0.678
```

Summary:
**Mass density**: 4.39 Mg/m³
**Raw total energy**: -6.145 eV/atom



[2]
Material: RbV2Pb2O7
Method: DFT, PBE+U
State: optimized geometry

The structure in POSCAR format:
```
RbV2Pb2O7
1.0
2.979 1.720 8.354
-2.979 1.720 8.354
0.000 -3.440 8.354
Rb V Pb O
1 2 2 7
direct
0.000 0.000 0.000
0.427 0.427 0.427
0.573 0.573 0.573
0.212 0.212 0.212
0.788 0.788 0.788
0.095 0.478 0.647
0.353 0.522 0.905
0.478 0.647 0.095
0.500 0.500 0.500
0.522 0.905 0.353
0.647 0.095 0.478
0.905 0.353 0.522
```

Summary:
**Mass density**: 4.61 Mg/m³
**Raw total energy**: -6.486 eV/atom



[3]
Material: Rb2VPbO4
Method: DFT, PBE+U
State: optimized geometry

The structure in POSCAR format:
```
Rb2VPbO4
1.0
6.162 0.000 0.000
0.000 8.274 0.000
0.000 0.000 6.501
Rb V Pb O
4 2 2 8
direct
0.250 0.010 0.248
0.250 0.490 0.248
0.750 0.510 0.752
0.750 0.990 0.752
0.250 0.750 0.669
0.750 0.250 0.331
0.250 0.250 0.741
0.750 0.750 0.259
0.005 0.750 0.496
0.250 0.563 0.805
0.250 0.937 0.805
0.495 0.750 0.496
0.505 0.250 0.504
0.750 0.063 0.195
0.750 0.437 0.195
0.995 0.250 0.504
```

Summary:
**Mass density**: 4.94 Mg/m³
**Raw total energy**: -5.758 eV/atom



[4]
Material: RbPbW2O8
Method: DFT, PBE+U
State: optimized geometry

The structure in POSCAR format:
```
RbPbW2O8
1.0
2.786 1.609 9.202
-2.786 1.609 9.202
0.000 -3.217 9.202
Rb Pb W O
1 1 2 8
direct
0.000 0.000 0.000
0.500 0.500 0.500
0.242 0.242 0.242
0.758 0.758 0.758
0.103 0.481 0.752
0.248 0.519 0.897
0.307 0.307 0.307
0.481 0.752 0.103
0.519 0.897 0.248
0.693 0.693 0.693
0.752 0.103 0.481
0.897 0.248 0.519
```

Summary:
**Mass density**: 5.29 Mg/m³
**Raw total energy**: -6.573 eV/atom



[5]
Material: Rb2PbWO6
Method: DFT, PBE+U
State: optimized geometry

The structure in POSCAR format:
```
Rb2PbWO6
1.0
0.000 4.185 4.185
4.185 0.000 4.185
4.185 4.185 0.000
Rb Pb W O
2 1 1 6
direct
0.250 0.250 0.250
0.750 0.750 0.750
0.000 0.000 0.000
0.500 0.500 0.500
0.266 0.266 0.734
0.266 0.734 0.266
0.266 0.734 0.734
0.734 0.266 0.266
0.734 0.266 0.734
0.734 0.734 0.266
```

Summary:
**Mass density**: 7.45 Mg/m³
**Raw total energy**: -5.832 eV/atom



[6]
Material: RbPbWO6
Method: DFT, PBE+U
State: optimized geometry

The structure in POSCAR format:
```
RbPbWO6
1.0
5.687 0.000 0.000
-2.844 4.925 0.000
0.000 0.000 12.283
Rb Pb W O
2 2 2 12
direct
0.000 0.000 0.000
0.000 0.000 0.500
0.333 0.667 0.250
0.667 0.333 0.750
0.333 0.667 0.750
0.667 0.333 0.250
0.031 0.417 0.657
0.031 0.614 0.843
0.386 0.417 0.843
0.386 0.969 0.657
0.417 0.031 0.157
0.417 0.386 0.343
0.583 0.614 0.657
0.583 0.969 0.843
0.614 0.031 0.343
0.614 0.583 0.157
0.969 0.386 0.157
0.969 0.583 0.343
```

Summary:
**Mass density**: 5.53 Mg/m³
**Raw total energy**: -5.985 eV/atom



[7]
Material: RbPb2WO6
Method: DFT, PBE+U
State: optimized geometry

The structure in POSCAR format:
```
RbPb2WO6
1.0
5.787 0.000 0.000
0.000 6.610 0.000
-5.780 0.000 8.805
Rb Pb W O
2 4 2 12
direct
0.000 0.000 0.000
0.000 0.500 0.500
0.217 0.001 0.717
0.217 0.499 0.217
0.783 0.501 0.783
0.783 0.999 0.283
0.500 0.000 0.500
0.500 0.500 0.000
0.204 0.143 0.499
0.204 0.357 0.999
0.211 0.679 0.842
0.211 0.821 0.342
0.470 0.174 0.339
0.470 0.326 0.839
0.530 0.674 0.161
0.530 0.826 0.661
0.789 0.179 0.658
0.789 0.321 0.158
0.796 0.643 0.001
0.796 0.857 0.501
```

Summary:
**Mass density**: 7.69 Mg/m³
**Raw total energy**: -6.058 eV/atom



[8]
Material: RbPbWO4
Method: DFT, PBE+U
State: optimized geometry

The structure in POSCAR format:
```
RbPbWO4
1.0
6.221 0.000 0.000
0.000 6.254 0.000
-2.283 0.000 7.759
Rb Pb W O
2 2 2 8
direct
0.232 0.250 0.075
0.768 0.750 0.925
0.111 0.750 0.519
0.889 0.250 0.481
0.480 0.250 0.703
0.520 0.750 0.297
0.210 0.750 0.232
0.360 0.250 0.470
0.374 0.019 0.791
0.374 0.481 0.791
0.626 0.519 0.209
0.626 0.981 0.209
0.640 0.750 0.530
0.790 0.250 0.768
```

Summary:
**Mass density**: 5.95 Mg/m³
**Raw total energy**: -6.146 eV/atom



> The highest raw total energy belongs to which entry?

Rb2VPbO4